DFT (PBE-GGA) results for a relaxed structure of Dy2Al4HgAu3.

Lattice parameters (Å, degrees): 4.343 4.343 10.706 90.00 90.00 90.00
Element x y z (fractional)
Dy1 0.500 0.000 0.247
Dy2 0.000 0.500 0.753
Al1 0.500 0.500 0.000
Al2 0.000 0.000 0.000
Al3 0.500 0.000 0.642
Al4 0.000 0.500 0.358
Hg1 0.500 0.500 0.500
Au1 0.000 0.000 0.500
Au2 0.500 0.000 0.871
Au3 0.000 0.500 0.129

SG ... P-4m2

***

DFT (PBE-GGA) results for a relaxed structure of DyAlHgAu.

Lattice parameters (Å, degrees): 4.917 4.917 4.917 60.00 60.00 60.00
Element x y z (fractional)
Al1 0.000 0.000 0.000
Au1 0.250 0.250 0.250
Hg1 0.750 0.750 0.750
Dy1 0.500 0.500 0.500

SG ... F-43m

***

Number 1: DFT formation energy -0.604 eV/atom, Fermi-level density of states 0.444 states/eV per atom. Number 2: DFT formation energy -0.501 eV/atom, Fermi-level density of states 0.509 states/eV per atom.